Entry 1:
LaPr5Er PBE optimized geometry; mass density = 6.71 g/cm3; E_form = 0.155 eV/atom; total magnetic moment = 0.00 μB/f.u.; E_tot = -64.6 eV for the cell shown; symmetry = Cmcm
1.0
6.0805 -3.5045 0.0000
6.0805 3.5045 0.0000
0.0000 0.0000 11.7323
La Pr Er
2 10 2
direct
0.1874 0.8126 0.7500
0.8126 0.1874 0.2500
0.1588 0.1588 0.0000
0.1588 0.1588 0.5000
0.1967 0.3720 0.7500
0.2490 0.7510 0.2500
0.3720 0.1967 0.2500
0.6280 0.8033 0.7500
0.7510 0.2490 0.7500
0.8033 0.6280 0.2500
0.8412 0.8412 0.0000
0.8412 0.8412 0.5000
0.5000 0.5000 0.0000
0.5000 0.5000 0.5000

---

Entry 2:
TmScBi2 PBE optimized geometry; mass density = 8.78 g/cm3; E_form = -0.626 eV/atom; total magnetic moment = 0.00 μB/f.u.; E_tot = -21.1 eV for the cell shown; symmetry = R3m
1.0
2.1600 1.2470 7.3962
-2.1600 1.2470 7.3962
0.0000 -2.4941 7.3962
Tm Sc Bi
1 1 2
direct
0.0000 0.0000 0.0000
0.8302 0.8302 0.8302
0.4166 0.4166 0.4166
0.5801 0.5801 0.5801

---

Entry 3:
PaFe12P6 PBE optimized geometry; mass density = 7.83 g/cm3; E_form = -0.476 eV/atom; total magnetic moment = 8.61 μB/f.u.; E_tot = -152.6 eV for the cell shown; symmetry = R-3m
1.0
5.0992 2.9440 2.5590
-5.0992 2.9440 2.5590
0.0000 -5.8880 2.5590
Pa Fe P
1 12 6
direct
0.0000 0.0000 0.0000
0.1339 0.5000 0.8661
0.1339 0.8661 0.5000
0.1802 0.4434 0.4434
0.4434 0.1802 0.4434
0.4434 0.4434 0.1802
0.5000 0.1339 0.8661
0.5000 0.8661 0.1339
0.5566 0.5566 0.8198
0.5566 0.8198 0.5566
0.8198 0.5566 0.5566
0.8661 0.1339 0.5000
0.8661 0.5000 0.1339
0.2357 0.2357 0.6792
0.2357 0.6792 0.2357
0.3208 0.7643 0.7643
0.6792 0.2357 0.2357
0.7643 0.3208 0.7643
0.7643 0.7643 0.3208

---

Entry 4:
TiTeH PBE optimized geometry; mass density = 5.67 g/cm3; total magnetic moment = 0.00 μB/f.u.; E_tot = -32.2 eV for the cell shown; symmetry = R-3m
1.0
1.7389 1.0040 9.8702
-1.7389 1.0040 9.8702
0.0000 -2.0079 9.8702
Ti Te H
2 2 2
direct
0.1281 0.1281 0.1281
0.8719 0.8719 0.8719
0.3978 0.3978 0.3978
0.6022 0.6022 0.6022
0.1919 0.1919 0.1919
0.8081 0.8081 0.8081

---

Entry 5:
HfCd2OsPt PBE optimized geometry; mass density = 10.76 g/cm3; E_form = 1.131 eV/atom; total magnetic moment = 0.00 μB/f.u.; E_tot = -23.4 eV for the cell shown; symmetry = P4/mmm
1.0
5.0414 0.0000 0.0000
0.0000 5.0414 0.0000
0.0000 0.0000 4.7886
Hf Cd Os Pt
1 2 1 1
direct
0.0000 0.0000 0.0000
0.0000 0.5000 0.5000
0.5000 0.0000 0.5000
0.5000 0.5000 0.5000
0.5000 0.5000 0.0000

---

Entry 6:
Hf2GaSb PBE optimized geometry; mass density = 11.02 g/cm3; energy relative to the elements, uncorrected = -0.18 eV per atom; total magnetic moment = 0.00 μB/f.u.; E_tot = -27.8 eV for the cell shown; symmetry = Fm-3m
1.0
0.0000 3.4576 3.4576
3.4576 0.0000 3.4576
3.4576 3.4576 0.0000
Hf Ga Sb
2 1 1
direct
0.2500 0.2500 0.2500
0.7500 0.7500 0.7500
0.0000 0.0000 0.0000
0.5000 0.5000 0.5000